Here is a geometry-optimized NdSm5Er2 structure from the Alexandria database. Energies are from PBE.

Cell lengths 8.943, 16.603, 11.414 Å; angles 90.00, 90.00, 161.18 degrees
Sites, in units of the cell vectors:
Sm 0.388 0.049 0.577
Sm 0.388 0.049 0.923
Sm 0.552 0.319 0.250
Sm 0.490 0.684 0.077
Sm 0.448 0.681 0.750
Sm 0.510 0.316 0.923
Sm 0.510 0.316 0.577
Sm 0.612 0.951 0.423
Sm 0.490 0.684 0.423
Sm 0.612 0.951 0.077
Nd 0.644 0.149 0.250
Nd 0.356 0.851 0.750
Er 0.325 0.429 0.882
Er 0.675 0.571 0.382
Er 0.325 0.429 0.618
Er 0.675 0.571 0.118

E ... -72.368 eV per cell
Spin magnetization ... 0.00 Bohr magnetons per cell
Space-group type ... P2_1/m (11)
ΔE_f ... 1.31 eV/f.u.
E above lowest polymorph ... 14.2 kJ per mole of atoms
V ... 34.166 Å³ per atom